# 1
Density functional theory data (PBE-GGA) for a relaxed structure of NiSbSeN2.

The structure in POSCAR format:
```
NiSbSeN2
1.0
3.911 0.000 0.000
0.000 3.911 0.000
0.000 0.000 5.833
Ni Sb Se N
1 1 1 2
direct
0.000 0.000 0.000 Ni
0.500 0.500 0.500 Sb
0.500 0.500 0.000 Se
0.000 0.500 0.500 N
0.500 0.000 0.500 N
```

Values from the calculation:
- N(E_F) (states/eV/cell) = 5.38
- polymorph energy (0 for the lowest one) (eV per formula unit) = 1.426
- total moment (μB per formula unit) = 1.81
- formation energy from raw total energies (meV/atom) = 1451.0
- density (Mg/m³) = 5.35
- raw total energy (eV per atom) = -4.56

***

# 2
Density functional theory data (PBE-GGA) for a relaxed structure of NiSbSeN2.

The structure in POSCAR format:
```
NiSbSeN2
1.0
3.912 0.000 0.000
0.000 3.912 0.000
0.000 0.000 4.948
Ni Sb Se N
1 1 1 2
direct
0.000 0.000 0.000 Ni
0.500 0.500 0.500 Sb
0.000 0.000 0.500 Se
0.000 0.500 0.000 N
0.500 0.000 0.000 N
```

Values from the calculation:
- N(E_F) (states/eV/cell) = 2.61
- polymorph energy (0 for the lowest one) (eV per formula unit) = 0.000
- total moment (μB per formula unit) = 2.62
- formation energy from raw total energies (meV/atom) = 1165.8
- density (Mg/m³) = 6.30
- raw total energy (eV per atom) = -4.84